Entry 1:
PmBN | PBE | relaxed Values from VASP.

Quantum ESPRESSO input file:
```
&SYSTEM
  ibrav = 0, nat = 3, ntyp = 3
/
ATOMIC_SPECIES
Pm 145.00 Pm.upf
B 10.81 B.upf
N 14.01 N.upf
CELL_PARAMETERS angstrom
3.828 0.000 0.000
0.000 3.828 0.000
-1.914 -1.914 3.248
ATOMIC_POSITIONS crystal
Pm 0.945 0.945 0.890
B 0.351 0.351 0.701
N 0.554 0.554 0.109
```

Computed properties:
raw formation energy = -0.6850 eV per atom
energy relative to the lowest polymorph listed for this composition = 435 meV/atom
total magnetic moment = 0.00 Bohr magnetons per cell

---

Entry 2:
PmBN | PBE | relaxed Values from VASP.

Quantum ESPRESSO input file:
```
&SYSTEM
  ibrav = 0, nat = 3, ntyp = 3
/
ATOMIC_SPECIES
Pm 145.00 Pm.upf
N 14.01 N.upf
B 10.81 B.upf
CELL_PARAMETERS angstrom
-2.310 -1.122 -3.596
-1.618 -1.914 1.637
-0.899 2.838 -0.308
ATOMIC_POSITIONS crystal
Pm 0.667 0.667 0.333
N 0.167 0.333 0.667
B 0.167 0.000 0.000
```

Computed properties:
raw formation energy = 0.1136 eV per atom
energy relative to the lowest polymorph listed for this composition = 1234 meV/atom
total magnetic moment = 0.00 Bohr magnetons per cell

---

Entry 3:
Pm2B3N2 | PBE | relaxed Values from VASP.

Quantum ESPRESSO input file:
```
&SYSTEM
  ibrav = 0, nat = 7, ntyp = 3
/
ATOMIC_SPECIES
N 14.01 N.upf
B 10.81 B.upf
Pm 145.00 Pm.upf
CELL_PARAMETERS angstrom
3.363 0.000 -0.050
0.000 3.925 0.000
-1.607 0.000 6.604
ATOMIC_POSITIONS crystal
N 0.101 0.000 0.209
N 0.899 0.000 0.791
B 0.000 0.000 0.000
B 0.783 0.000 0.562
B 0.217 0.000 0.438
Pm 0.632 0.500 0.271
Pm 0.368 0.500 0.729
```

Computed properties:
raw formation energy = -0.7994 eV per atom
total magnetic moment = 0.00 Bohr magnetons per cell

---

Entry 4:
PmBN | PBE | relaxed Values from VASP.

Quantum ESPRESSO input file:
```
&SYSTEM
  ibrav = 0, nat = 6, ntyp = 3
/
ATOMIC_SPECIES
Pm 145.00 Pm.upf
N 14.01 N.upf
B 10.81 B.upf
CELL_PARAMETERS angstrom
-2.852 1.890 1.455
1.051 -0.851 3.167
2.039 6.010 0.938
ATOMIC_POSITIONS crystal
Pm 0.453 0.716 0.113
Pm 0.170 0.216 0.680
N 0.654 0.716 0.712
N 0.969 0.216 0.081
B 0.849 0.216 0.321
B 0.774 0.716 0.472
```

Computed properties:
raw formation energy = -1.1205 eV per atom
energy relative to the lowest polymorph listed for this composition = 0 meV/atom
total magnetic moment = 0.00 Bohr magnetons per cell

---

Entry 5:
PmBN | PBE | relaxed Values from VASP.

Quantum ESPRESSO input file:
```
&SYSTEM
  ibrav = 0, nat = 6, ntyp = 3
/
ATOMIC_SPECIES
N 14.01 N.upf
Pm 145.00 Pm.upf
B 10.81 B.upf
CELL_PARAMETERS angstrom
-3.595 0.669 -1.687
1.233 -4.184 0.519
-2.013 4.043 5.894
ATOMIC_POSITIONS crystal
N 0.752 0.503 0.330
N 0.248 0.497 0.670
Pm 0.037 0.074 0.276
Pm 0.963 0.926 0.724
B 0.617 0.233 0.098
B 0.383 0.767 0.902
```

Computed properties:
raw formation energy = -0.9883 eV per atom
energy relative to the lowest polymorph listed for this composition = 132 meV/atom
total magnetic moment = 0.00 Bohr magnetons per cell

---

Entry 6:
PmBN2 | PBE | relaxed Values from VASP.

Quantum ESPRESSO input file:
```
&SYSTEM
  ibrav = 0, nat = 16, ntyp = 3
/
ATOMIC_SPECIES
B 10.81 B.upf
Pm 145.00 Pm.upf
N 14.01 N.upf
CELL_PARAMETERS angstrom
5.035 0.000 0.000
0.000 6.069 0.346
0.000 -2.673 6.194
ATOMIC_POSITIONS crystal
B 0.250 0.284 0.649
B 0.750 0.716 0.351
B 0.250 0.784 0.149
B 0.750 0.216 0.851
Pm 0.750 0.247 0.435
Pm 0.750 0.747 0.935
Pm 0.250 0.753 0.565
Pm 0.250 0.253 0.065
N 0.001 0.748 0.250
N 0.750 0.670 0.550
N 0.499 0.248 0.750
N 0.750 0.170 0.050
N 0.250 0.830 0.950
N 0.250 0.330 0.450
N 0.501 0.752 0.250
N 0.999 0.252 0.750
```

Computed properties:
raw formation energy = -1.2852 eV per atom
total magnetic moment = 0.00 Bohr magnetons per cell